Record 1
## Li2PrTm2Bi2 (PBE)

Data for an optimized crystal structure of Li2PrTm2Bi2.

Unit cell a=9.4201 b=9.4201 c=9.4201 alpha=30.04 beta=30.04 gamma=30.04
With the nearest neighbours (Å) after each atom.
Fractional coordinates of all 7 atoms:
Li 0.0814 0.0814 0.0814  3 Bi 2.84, 3 Tm 3.10
Li 0.9186 0.9186 0.9186  3 Bi 2.84, 3 Tm 3.10
Pr 0.5000 0.5000 0.5000  6 Bi 3.42, 2 Tm 3.60, 6 Li 3.64
Tm 0.3664 0.3664 0.3664  3 Li 3.10, 4 Bi 3.27-3.45, 3 Tm 3.34
Tm 0.6336 0.6336 0.6336  3 Li 3.10, 4 Bi 3.27-3.45, 3 Tm 3.34
Bi 0.2385 0.2385 0.2385  3 Li 2.84
Bi 0.7615 0.7615 0.7615  3 Li 2.84

Computed properties:
Mass density = 8150 kg/m³
SG = No. 166
Calculated volume = 186 Å³ per cell
Energy of formation = -0.385 eV per atom

Record 2
## KZrIN2 (PBE)

Data for an optimized crystal structure of KZrIN2.

Unit cell a=4.7342 b=4.7342 c=5.9683 alpha=90.00 beta=90.00 gamma=90.00
With the nearest neighbours (Å) after each atom.
Fractional coordinates of all 5 atoms:
K 0.0000 0.0000 0.0000  4 N 2.37
Zr 0.5000 0.5000 0.5000  4 I 3.35
I 0.0000 0.0000 0.5000  2 K 2.98
N 0.0000 0.5000 0.0000  2 K 2.37
N 0.5000 0.0000 0.0000  2 K 2.37

Computed properties:
Formation energy from raw total energies = 10.0 eV/f.u.
Mass density = 3541 kg/m³
SG = No. 123
Calculated volume = 134 Å³ per cell
Polymorph energy (0 for the lowest one) = 2090 meV per atom

Record 3
## Mg2TaCr (PBE)

Data for an optimized crystal structure of Mg2TaCr.

Unit cell a=2.8918 b=2.8918 c=9.2774 alpha=90.00 beta=90.00 gamma=111.07
With the nearest neighbours (Å) after each atom.
Fractional coordinates of all 4 atoms:
Mg 0.0000 0.0000 0.0000  6 Mg 2.89-3.13, 2 Ta 3.01
Mg 0.5000 0.5000 0.2880  2 Cr 2.76, 4 Mg 2.89
Ta 0.5000 0.5000 0.7275  2 Cr 2.47
Cr 0.0000 0.0000 0.5277  2 Ta 2.47, 2 Mg 2.76

Computed properties:
Mass density = 6458 kg/m³
SG = No. 35
Calculated volume = 72 Å³ per cell
Polymorph energy (0 for the lowest one) = 0 meV per atom
Energy of formation = 0.272 eV per atom

Record 4
## LiUGeRu (PBE)

Data for an optimized crystal structure of LiUGeRu.

Unit cell a=4.5610 b=4.5610 c=4.5610 alpha=60.00 beta=60.00 gamma=60.00
With the nearest neighbours (Å) after each atom.
Fractional coordinates of all 4 atoms:
Li 0.0000 0.0000 0.0000  4 Ge 2.79, 4 U 2.79
U 0.2500 0.2500 0.2500  4 Li 2.79, 4 Ru 2.79
Ge 0.7500 0.7500 0.7500  4 Li 2.79, 4 Ru 2.79
Ru 0.5000 0.5000 0.5000  4 Ge 2.79, 4 U 2.79

Computed properties:
Mass density = 10363 kg/m³
SG = No. 216
Calculated volume = 67 Å³ per cell
Energy of formation = -0.121 eV per atom